Entry 1:
# CeTcRu, optimized geometry, DFT GGA-PBE
data_CeTcRu
_chemical_formula_sum 'Ce1 Tc1 Ru1'
_cell_length_a 6.5781
_cell_length_b 6.5781
_cell_length_c 6.5781
_cell_angle_alpha 154.12
_cell_angle_beta 154.12
_cell_angle_gamma 36.92
_symmetry_space_group_name_H-M 'P 1'
_symmetry_Int_Tables_number 1
_symmetry_space_group_name_Hall 'P 1'
loop_
_atom_site_label
_atom_site_type_symbol
_atom_site_fract_x
_atom_site_fract_y
_atom_site_fract_z
Ce1 Ce 0.0000 0.0000 0.0000
Tc1 Tc 0.6902 0.6902 0.0000
Ru1 Ru 0.3114 0.3114 0.0000
# Distance to the lowest polymorph of the same formula (kcal/mol of atoms): 5.25
# Calculated formation energy (eV per atom): 0.00

=====

Entry 2:
# SmErMn17, optimized geometry, DFT GGA-PBE
data_SmErMn17
_chemical_formula_sum 'Sm1 Er1 Mn17'
_cell_length_a 6.3322
_cell_length_b 6.3322
_cell_length_c 6.3322
_cell_angle_alpha 86.30
_cell_angle_beta 86.30
_cell_angle_gamma 86.30
_symmetry_space_group_name_H-M 'P 1'
_symmetry_Int_Tables_number 1
_symmetry_space_group_name_Hall 'P 1'
loop_
_atom_site_label
_atom_site_type_symbol
_atom_site_fract_x
_atom_site_fract_y
_atom_site_fract_z
Sm1 Sm 0.0000 0.0000 0.0000
Er1 Er 0.7100 0.7100 0.7100
Mn1 Mn 0.0005 0.0005 0.4799
Mn2 Mn 0.0005 0.4799 0.0005
Mn3 Mn 0.0819 0.3573 0.6312
Mn4 Mn 0.0819 0.6312 0.3573
Mn5 Mn 0.2338 0.7107 0.7107
Mn6 Mn 0.2572 0.2572 0.2572
Mn7 Mn 0.3573 0.0819 0.6312
Mn8 Mn 0.3573 0.6312 0.0819
Mn9 Mn 0.3576 0.3576 0.8562
Mn10 Mn 0.3576 0.8562 0.3576
Mn11 Mn 0.4563 0.4563 0.4563
Mn12 Mn 0.4799 0.0005 0.0005
Mn13 Mn 0.6312 0.0819 0.3573
Mn14 Mn 0.6312 0.3573 0.0819
Mn15 Mn 0.7107 0.2338 0.7107
Mn16 Mn 0.7107 0.7107 0.2338
Mn17 Mn 0.8562 0.3576 0.3576
# Calculated formation energy (eV per atom): 0.01

=====

Entry 3:
# Ce5Nb2Ge5, optimized geometry, DFT GGA-PBE
data_Ce5Nb2Ge5
_chemical_formula_sum 'Ce5 Nb2 Ge5'
_cell_length_a 7.0761
_cell_length_b 7.0761
_cell_length_c 11.5167
_cell_angle_alpha 110.07
_cell_angle_beta 110.07
_cell_angle_gamma 33.07
_symmetry_space_group_name_H-M 'P 1'
_symmetry_Int_Tables_number 1
_symmetry_space_group_name_Hall 'P 1'
loop_
_atom_site_label
_atom_site_type_symbol
_atom_site_fract_x
_atom_site_fract_y
_atom_site_fract_z
Ce1 Ce 0.0000 0.0000 0.0000
Ce2 Ce 0.1693 0.1693 0.5646
Ce3 Ce 0.2312 0.2312 0.8278
Ce4 Ce 0.7688 0.7688 0.1722
Ce5 Ce 0.8307 0.8307 0.4354
Nb1 Nb 0.4720 0.4720 0.7061
Nb2 Nb 0.5280 0.5280 0.2939
Ge1 Ge 0.1534 0.1534 0.2862
Ge2 Ge 0.3814 0.3814 0.0800
Ge3 Ge 0.5000 0.5000 0.5000
Ge4 Ge 0.6186 0.6186 0.9200
Ge5 Ge 0.8466 0.8466 0.7138
# Calculated formation energy (eV per atom): -0.44

=====

Entry 4:
# ScRuCl, optimized geometry, DFT GGA-PBE
data_ScRuCl
_chemical_formula_sum 'Sc1 Ru1 Cl1'
_cell_length_a 4.2015
_cell_length_b 4.2015
_cell_length_c 3.2029
_cell_angle_alpha 90.00
_cell_angle_beta 90.00
_cell_angle_gamma 120.00
_symmetry_space_group_name_H-M 'P 1'
_symmetry_Int_Tables_number 1
_symmetry_space_group_name_Hall 'P 1'
loop_
_atom_site_label
_atom_site_type_symbol
_atom_site_fract_x
_atom_site_fract_y
_atom_site_fract_z
Sc1 Sc 0.0000 0.0000 0.0000
Ru1 Ru 0.6667 0.3333 0.5000
Cl1 Cl 0.3333 0.6667 0.5000
# Raw formation energy (meV per atom): -304
# Distance to the lowest polymorph of the same formula (kcal/mol of atoms): 5.26

=====

Entry 5:
# Ga2HOs, optimized geometry, DFT GGA-PBE
data_Ga2HOs
_chemical_formula_sum 'Ga2 H1 Os1'
_cell_length_a 4.2281
_cell_length_b 4.2281
_cell_length_c 4.2281
_cell_angle_alpha 60.00
_cell_angle_beta 60.00
_cell_angle_gamma 60.00
_symmetry_space_group_name_H-M 'P 1'
_symmetry_Int_Tables_number 1
_symmetry_space_group_name_Hall 'P 1'
loop_
_atom_site_label
_atom_site_type_symbol
_atom_site_fract_x
_atom_site_fract_y
_atom_site_fract_z
Ga1 Ga 0.2500 0.2500 0.2500
Ga2 Ga 0.7500 0.7500 0.7500
H1 H 0.0000 0.0000 0.0000
Os1 Os 0.5000 0.5000 0.5000
# Distance to the lowest polymorph of the same formula (kcal/mol of atoms): 0.00

=====

Entry 6:
# V2Cr2Fe, optimized geometry, DFT GGA-PBE
data_V2Cr2Fe
_chemical_formula_sum 'V2 Cr2 Fe1'
_cell_length_a 10.4599
_cell_length_b 10.3617
_cell_length_c 2.4982
_cell_angle_alpha 85.35
_cell_angle_beta 80.88
_cell_angle_gamma 13.77
_symmetry_space_group_name_H-M 'P 1'
_symmetry_Int_Tables_number 1
_symmetry_space_group_name_Hall 'P 1'
loop_
_atom_site_label
_atom_site_type_symbol
_atom_site_fract_x
_atom_site_fract_y
_atom_site_fract_z
V1 V 0.0000 0.0000 0.0000
V2 V 0.3930 0.3930 0.6070
Cr1 Cr 0.1971 0.1971 0.8029
Cr2 Cr 0.6011 0.6011 0.3989
Fe1 Fe 0.7930 0.7930 0.2070
# Distance to the lowest polymorph of the same formula (kcal/mol of atoms): 0.00
# Calculated formation energy (eV per atom): -0.04

=====

Entry 7:
# Nd5Mg2In5, optimized geometry, DFT GGA-PBE
data_Nd5Mg2In5
_chemical_formula_sum 'Nd5 Mg2 In5'
_cell_length_a 5.7314
_cell_length_b 5.7314
_cell_length_c 13.0083
_cell_angle_alpha 101.12
_cell_angle_beta 101.12
_cell_angle_gamma 55.05
_symmetry_space_group_name_H-M 'P 1'
_symmetry_Int_Tables_number 1
_symmetry_space_group_name_Hall 'P 1'
loop_
_atom_site_label
_atom_site_type_symbol
_atom_site_fract_x
_atom_site_fract_y
_atom_site_fract_z
Nd1 Nd 0.0000 0.0000 0.0000
Nd2 Nd 0.3426 0.3426 0.5031
Nd3 Nd 0.4350 0.4350 0.1894
Nd4 Nd 0.5650 0.5650 0.8106
Nd5 Nd 0.6574 0.6574 0.4969
Mg1 Mg 0.1967 0.1967 0.7010
Mg2 Mg 0.8033 0.8033 0.2990
In1 In 0.0000 0.0000 0.5000
In2 In 0.1255 0.1255 0.2820
In3 In 0.2927 0.2927 0.9319
In4 In 0.7073 0.7073 0.0681
In5 In 0.8745 0.8745 0.7180
# Calculated formation energy (eV per atom): -0.29

=====

Entry 8:
# Tb15Pm2Y2, optimized geometry, DFT GGA-PBE
data_Tb15Pm2Y2
_chemical_formula_sum 'Tb15 Pm2 Y2'
_cell_length_a 8.7580
_cell_length_b 8.7580
_cell_length_c 8.7580
_cell_angle_alpha 79.80
_cell_angle_beta 79.80
_cell_angle_gamma 79.80
_symmetry_space_group_name_H-M 'P 1'
_symmetry_Int_Tables_number 1
_symmetry_space_group_name_Hall 'P 1'
loop_
_atom_site_label
_atom_site_type_symbol
_atom_site_fract_x
_atom_site_fract_y
_atom_site_fract_z
Tb1 Tb 0.0000 0.0000 0.5000
Tb2 Tb 0.0000 0.2973 0.7027
Tb3 Tb 0.0000 0.5000 0.0000
Tb4 Tb 0.0000 0.7027 0.2973
Tb5 Tb 0.1499 0.6297 0.6297
Tb6 Tb 0.2973 0.0000 0.7027
Tb7 Tb 0.2973 0.7027 0.0000
Tb8 Tb 0.3703 0.3703 0.8501
Tb9 Tb 0.3703 0.8501 0.3703
Tb10 Tb 0.5000 0.0000 0.0000
Tb11 Tb 0.6297 0.1499 0.6297
Tb12 Tb 0.6297 0.6297 0.1499
Tb13 Tb 0.7027 0.0000 0.2973
Tb14 Tb 0.7027 0.2973 0.0000
Tb15 Tb 0.8501 0.3703 0.3703
Pm1 Pm 0.3246 0.3246 0.3246
Pm2 Pm 0.6754 0.6754 0.6754
Y1 Y 0.0964 0.0964 0.0964
Y2 Y 0.9036 0.9036 0.9036
# Calculated formation energy (eV per atom): 0.27

=====

Entry 9:
# LuHfOsRu, optimized geometry, DFT GGA-PBE
data_LuHfOsRu
_chemical_formula_sum 'Lu1 Hf1 Os1 Ru1'
_cell_length_a 4.6439
_cell_length_b 4.6439
_cell_length_c 4.6439
_cell_angle_alpha 60.00
_cell_angle_beta 60.00
_cell_angle_gamma 60.00
_symmetry_space_group_name_H-M 'P 1'
_symmetry_Int_Tables_number 1
_symmetry_space_group_name_Hall 'P 1'
loop_
_atom_site_label
_atom_site_type_symbol
_atom_site_fract_x
_atom_site_fract_y
_atom_site_fract_z
Lu1 Lu 0.0000 0.0000 0.0000
Hf1 Hf 0.5000 0.5000 0.5000
Os1 Os 0.7500 0.7500 0.7500
Ru1 Ru 0.2500 0.2500 0.2500
# Calculated formation energy (eV per atom): -0.57

=====

Entry 10:
# TaTiNbMo, optimized geometry, DFT GGA-PBE
data_TaTiNbMo
_chemical_formula_sum 'Ta1 Ti1 Nb1 Mo1'
_cell_length_a 4.5931
_cell_length_b 4.5931
_cell_length_c 4.5931
_cell_angle_alpha 60.00
_cell_angle_beta 60.00
_cell_angle_gamma 60.00
_symmetry_space_group_name_H-M 'P 1'
_symmetry_Int_Tables_number 1
_symmetry_space_group_name_Hall 'P 1'
loop_
_atom_site_label
_atom_site_type_symbol
_atom_site_fract_x
_atom_site_fract_y
_atom_site_fract_z
Ta1 Ta 0.0000 0.0000 0.0000
Ti1 Ti 0.2500 0.2500 0.2500
Nb1 Nb 0.5000 0.5000 0.5000
Mo1 Mo 0.7500 0.7500 0.7500
# Distance to the lowest polymorph of the same formula (kcal/mol of atoms): 1.05
# Calculated formation energy (eV per atom): -0.05

=====

Entry 11:
# SrLa2Cd, optimized geometry, DFT GGA-PBE
data_SrLa2Cd
_chemical_formula_sum 'Sr1 La2 Cd1'
_cell_length_a 7.3601
_cell_length_b 7.3601
_cell_length_c 7.3601
_cell_angle_alpha 150.01
_cell_angle_beta 133.07
_cell_angle_gamma 56.70
_symmetry_space_group_name_H-M 'P 1'
_symmetry_Int_Tables_number 1
_symmetry_space_group_name_Hall 'P 1'
loop_
_atom_site_label
_atom_site_type_symbol
_atom_site_fract_x
_atom_site_fract_y
_atom_site_fract_z
Sr1 Sr 0.0000 0.0000 0.0000
La1 La 0.2858 0.7858 0.5000
La2 La 0.7142 0.2142 0.5000
Cd1 Cd 0.5000 0.5000 0.0000
# Calculated formation energy (eV per atom): -0.11

=====

Entry 12:
# KPRh2, optimized geometry, DFT GGA-PBE
data_KPRh2
_chemical_formula_sum 'K1 P1 Rh2'
_cell_length_a 5.5605
_cell_length_b 5.5605
_cell_length_c 5.5605
_cell_angle_alpha 146.04
_cell_angle_beta 117.92
_cell_angle_gamma 72.68
_symmetry_space_group_name_H-M 'P 1'
_symmetry_Int_Tables_number 1
_symmetry_space_group_name_Hall 'P 1'
loop_
_atom_site_label
_atom_site_type_symbol
_atom_site_fract_x
_atom_site_fract_y
_atom_site_fract_z
K1 K 0.0000 0.0000 0.0000
P1 P 0.5000 0.5000 0.0000
Rh1 Rh 0.3325 0.8325 0.5000
Rh2 Rh 0.6675 0.1675 0.5000
# Calculated formation energy (eV per atom): 0.00